Entry 1:
A plane-wave DFT calculation with GGA-PBE was carried out for a relaxed structure of Li3In2Ga3.

Values from the calculation:
For the magnetic moment, the calculation gives 0.00 μB per formula unit. As for the energy above the most stable polymorph in this dataset: 0.000 eV per formula unit. The value obtained for the total energy is -2.721 eV/atom. The energy of formation from the pure elements is -4.2 kcal/mol of atoms.

a b c (Å): 8.5785 8.5785 4.2982
angles (deg): 102.95 102.95 29.25
With the nearest neighbours (Å) after each atom.
Fractional positions:
Li1 0.0000 0.0000 0.0000  8 Ga 2.81-3.05, 4 Li 2.82-2.86
Li2 0.1148 0.1148 0.6100  2 Li 2.82-2.86, 6 Ga 2.85-3.08, 2 In 2.92-3.03
Li3 0.8852 0.8852 0.3900  2 Li 2.82-2.86, 6 Ga 2.85-3.08, 2 In 2.92-3.03
In1 0.2422 0.2422 0.2419  4 Li 2.92-3.17, 3 Ga 3.04-3.12, 4 In 3.05-3.07
In2 0.7578 0.7578 0.7581  4 Li 2.92-3.17, 3 Ga 3.04-3.12, 4 In 3.05-3.07
Ga1 0.3893 0.3893 0.9023  2 Ga 2.79-2.80, 6 Li 2.81-3.08, 3 In 3.04-3.12
Ga2 0.5000 0.5000 0.5000  4 Ga 2.79-2.80, 8 Li 2.85-3.05
Ga3 0.6107 0.6107 0.0977  2 Ga 2.79-2.80, 6 Li 2.81-3.08, 3 In 3.04-3.12

Entry 2:
A plane-wave DFT calculation with GGA-PBE was carried out for a relaxed structure of Li4InGa.

Values from the calculation:
For the magnetic moment, the calculation gives 0.00 μB per formula unit. As for the energy above the most stable polymorph in this dataset: 0.027 eV per formula unit. The value obtained for the total energy is -2.492 eV/atom. The energy of formation from the pure elements is -5.9 kcal/mol of atoms.

a b c (Å): 2.8123 4.6222 7.9355
angles (deg): 90.00 90.30 90.00
With the nearest neighbours (Å) after each atom.
Fractional positions:
Li1 0.0000 0.0000 0.0000  5 Li 2.66-2.81, 2 Ga 2.90-2.96
Li2 0.0121 0.5000 0.5157  5 Li 2.55-2.81
Li3 0.9341 0.5000 0.8363  5 Li 2.55-2.81
Li4 0.9510 0.0000 0.3518  5 Li 2.66-2.81, 2 Ga 2.91-2.96
In1 0.4751 0.5000 0.1759  2 In 2.81, 12 Li 2.99-3.09
Ga1 0.4744 0.0000 0.6763  2 Ga 2.81, 12 Li 2.90-3.05

Entry 3:
A plane-wave DFT calculation with GGA-PBE was carried out for a relaxed structure of Li6In2Ga.

Values from the calculation:
For the magnetic moment, the calculation gives 0.00 μB per formula unit. As for the energy above the most stable polymorph in this dataset: 0.349 eV per formula unit. The value obtained for the total energy is -2.444 eV/atom. The energy of formation from the pure elements is -5.1 kcal/mol of atoms.

a b c (Å): 8.1909 8.1909 2.9034
angles (deg): 90.00 90.00 120.00
With the nearest neighbours (Å) after each atom.
Fractional positions:
Li1 0.0000 0.3519 0.0000  1 Ga 2.88, 8 Li 2.90-3.21, 4 In 3.03
Li2 0.0000 0.7013 0.5000  2 Ga 2.84, 2 In 2.88, 6 Li 2.90-3.06
Li3 0.2987 0.2987 0.5000  2 Ga 2.84, 2 In 2.88, 6 Li 2.90-3.06
Li4 0.3519 0.0000 0.0000  1 Ga 2.88, 8 Li 2.90-3.21, 4 In 3.03
Li5 0.6481 0.6481 0.0000  1 Ga 2.88, 8 Li 2.90-3.21, 4 In 3.03
Li6 0.7013 0.0000 0.5000  2 Ga 2.84, 2 In 2.88, 6 Li 2.90-3.06
In1 0.3333 0.6667 0.5000  9 Li 2.88-3.03, 2 In 2.90
In2 0.6667 0.3333 0.5000  9 Li 2.88-3.03, 2 In 2.90
Ga1 0.0000 0.0000 0.0000  9 Li 2.84-2.88, 2 Ga 2.90

Entry 4:
A plane-wave DFT calculation with GGA-PBE was carried out for a relaxed structure of Li5In6Ga2.

Values from the calculation:
For the magnetic moment, the calculation gives 0.00 μB per formula unit. The value obtained for the total energy is -2.640 eV/atom. The energy of formation from the pure elements is -4.0 kcal/mol of atoms.

a b c (Å): 9.1144 18.7299 3.1996
angles (deg): 90.00 90.00 90.00
With the nearest neighbours (Å) after each atom.
Fractional positions:
Li1 0.0000 0.0000 0.0000  6 In 2.92-2.95, 4 Li 3.05-3.20
Li2 0.0810 0.2485 0.0000  4 Ga 2.80, 4 In 3.11-3.13
Li3 0.1660 0.5042 0.0000  7 In 2.98-3.06, 4 Li 3.03-3.20
Li4 0.3340 0.0042 0.0000  7 In 2.98-3.06, 4 Li 3.03-3.20
Li5 0.4190 0.7485 0.0000  4 Ga 2.80, 4 In 3.11-3.13
Li6 0.5000 0.5000 0.0000  6 In 2.92-2.95, 4 Li 3.05-3.20
Li7 0.5810 0.2515 0.0000  4 Ga 2.80, 4 In 3.11-3.13
Li8 0.6660 0.9958 0.0000  7 In 2.98-3.06, 4 Li 3.03-3.20
Li9 0.8340 0.4958 0.0000  7 In 2.98-3.06, 4 Li 3.03-3.20
Li10 0.9190 0.7515 0.0000  4 Ga 2.80, 4 In 3.11-3.13
In1 0.0167 0.3888 0.5000  1 Ga 2.86, 6 Li 3.01-3.13, 2 In 3.20
In2 0.1496 0.1102 0.5000  1 Ga 2.85, 6 Li 2.95-3.11
In3 0.1685 0.8671 0.0000  4 Li 2.92-3.19, 2 Ga 2.96, 2 In 3.20
In4 0.3315 0.3671 0.0000  4 Li 2.92-3.19, 2 Ga 2.96, 2 In 3.20
In5 0.3504 0.6102 0.5000  1 Ga 2.85, 6 Li 2.95-3.11
In6 0.4833 0.8888 0.5000  1 Ga 2.86, 6 Li 3.01-3.13, 2 In 3.20
In7 0.5167 0.1112 0.5000  1 Ga 2.86, 6 Li 3.01-3.13, 2 In 3.20
In8 0.6496 0.3898 0.5000  1 Ga 2.85, 6 Li 2.95-3.11
In9 0.6685 0.6329 0.0000  4 Li 2.92-3.19, 2 Ga 2.96, 2 In 3.20
In10 0.8315 0.1329 0.0000  4 Li 2.92-3.19, 2 Ga 2.96, 2 In 3.20
In11 0.8504 0.8898 0.5000  1 Ga 2.85, 6 Li 2.95-3.11
In12 0.9833 0.6112 0.5000  1 Ga 2.86, 6 Li 3.01-3.13, 2 In 3.20
Ga1 0.1690 0.7342 0.5000  4 Li 2.80, 4 In 2.85-2.96
Ga2 0.3310 0.2342 0.5000  4 Li 2.80, 4 In 2.85-2.96
Ga3 0.6690 0.7658 0.5000  4 Li 2.80, 4 In 2.85-2.96
Ga4 0.8310 0.2658 0.5000  4 Li 2.80, 4 In 2.85-2.96